No. 1
DFT (PBE-GGA) results for La4Pm3In2 after structural relaxation.

```
data_La4Pm3In2
_chemical_formula_sum 'La8 Pm6 In4'
_cell_length_a 11.436
_cell_length_b 4.927
_cell_length_c 10.791
_cell_angle_alpha 90.00
_cell_angle_beta 109.08
_cell_angle_gamma 90.00
_symmetry_space_group_name_H-M 'C 1 2/m 1'
_symmetry_Int_Tables_number 12
_symmetry_space_group_name_Hall '-C 2y'
loop_
_atom_site_label
_atom_site_type_symbol
_atom_site_fract_x
_atom_site_fract_y
_atom_site_fract_z
La1 La 0.012 0.000 0.176
La2 La 0.168 0.500 0.389
Pm1 Pm 0.000 0.000 0.500
Pm2 Pm 0.173 0.500 0.053
In1 In 0.162 0.500 0.720
```

Properties
ΔE_f, eV/atom: -0.233

---

No. 2
DFT (PBE-GGA) results for NdTm2S4 after structural relaxation.

```
data_NdTm2S4
_chemical_formula_sum 'Nd4 Tm8 S16'
_cell_length_a 3.836
_cell_length_b 12.811
_cell_length_c 13.113
_cell_angle_alpha 90.00
_cell_angle_beta 90.00
_cell_angle_gamma 90.00
_symmetry_space_group_name_H-M 'C m c m'
_symmetry_Int_Tables_number 63
_symmetry_space_group_name_Hall '-C 2c 2'
loop_
_atom_site_label
_atom_site_type_symbol
_atom_site_fract_x
_atom_site_fract_y
_atom_site_fract_z
Nd1 Nd 0.000 0.124 0.250
Tm1 Tm 0.000 0.370 0.068
S1 S 0.000 0.000 0.000
S2 S 0.000 0.272 0.618
S3 S 0.000 0.459 0.250
```

Properties
Formation energy (no corrections), eV/atom: -2.065
ΔE to the lowest computed polymorph, meV/atom: 0

---

No. 3
DFT (PBE-GGA) results for IrWBr2 after structural relaxation.

```
data_IrWBr2
_chemical_formula_sum 'Ir4 W4 Br8'
_cell_length_a 5.892
_cell_length_b 5.892
_cell_length_c 10.613
_cell_angle_alpha 90.00
_cell_angle_beta 90.00
_cell_angle_gamma 90.00
_symmetry_space_group_name_H-M 'I -4 2 d'
_symmetry_Int_Tables_number 122
_symmetry_space_group_name_Hall 'I -4 2bw'
loop_
_atom_site_label
_atom_site_type_symbol
_atom_site_fract_x
_atom_site_fract_y
_atom_site_fract_z
Ir1 Ir 0.000 0.000 0.000
W1 W 0.000 0.000 0.500
Br1 Br 0.247 0.250 0.625
```

Properties
Formation energy (no corrections), eV/atom: 1.588
ΔE to the lowest computed polymorph, meV/atom: 1517

---

No. 4
DFT (PBE-GGA) results for Dy4MgIn5 after structural relaxation.

```
data_Dy4MgIn5
_chemical_formula_sum 'Dy4 Mg1 In5'
_cell_length_a 3.599
_cell_length_b 3.599
_cell_length_c 19.920
_cell_angle_alpha 90.00
_cell_angle_beta 90.00
_cell_angle_gamma 90.00
_symmetry_space_group_name_H-M 'P 4/m m m'
_symmetry_Int_Tables_number 123
_symmetry_space_group_name_Hall '-P 4 2'
loop_
_atom_site_label
_atom_site_type_symbol
_atom_site_fract_x
_atom_site_fract_y
_atom_site_fract_z
Dy1 Dy 0.000 0.000 0.104
Dy2 Dy 0.000 0.000 0.312
Mg1 Mg 0.000 0.000 0.500
In1 In 0.500 0.500 0.000
In2 In 0.500 0.500 0.208
In3 In 0.500 0.500 0.414
```

Properties
ΔE_f, eV/atom: -0.396

---

No. 5
DFT (PBE-GGA) results for SmGa4Ir2 after structural relaxation.

```
data_SmGa4Ir2
_chemical_formula_sum 'Sm4 Ga16 Ir8'
_cell_length_a 17.269
_cell_length_b 4.336
_cell_length_c 6.615
_cell_angle_alpha 90.00
_cell_angle_beta 90.00
_cell_angle_gamma 90.00
_symmetry_space_group_name_H-M 'P n m a'
_symmetry_Int_Tables_number 62
_symmetry_space_group_name_Hall '-P 2ac 2n'
loop_
_atom_site_label
_atom_site_type_symbol
_atom_site_fract_x
_atom_site_fract_y
_atom_site_fract_z
Sm1 Sm 0.140 0.250 0.003
Ga1 Ga 0.035 0.750 0.845
Ga2 Ga 0.068 0.250 0.489
Ga3 Ga 0.187 0.750 0.303
Ga4 Ga 0.189 0.750 0.711
Ir1 Ir 0.037 0.750 0.243
Ir2 Ir 0.214 0.250 0.508
```

Properties
ΔE_f, eV/atom: -0.634

---

No. 6
DFT (PBE-GGA) results for MnTe2Au after structural relaxation.

```
data_MnTe2Au
_chemical_formula_sum 'Mn1 Te2 Au1'
_cell_length_a 4.934
_cell_length_b 4.934
_cell_length_c 3.706
_cell_angle_alpha 90.00
_cell_angle_beta 90.00
_cell_angle_gamma 90.00
_symmetry_space_group_name_H-M 'P 4/m m m'
_symmetry_Int_Tables_number 123
_symmetry_space_group_name_Hall '-P 4 2'
loop_
_atom_site_label
_atom_site_type_symbol
_atom_site_fract_x
_atom_site_fract_y
_atom_site_fract_z
Mn1 Mn 0.000 0.000 0.000
Te1 Te 0.000 0.500 0.500
Au1 Au 0.500 0.500 0.000
```

Properties
Formation energy (no corrections), eV/atom: 0.294
ΔE to the lowest computed polymorph, meV/atom: 384

---

No. 7
DFT (PBE-GGA) results for HfReSi after structural relaxation.

```
data_HfReSi
_chemical_formula_sum 'Hf4 Re4 Si4'
_cell_length_a 5.123
_cell_length_b 5.188
_cell_length_c 7.234
_cell_angle_alpha 90.00
_cell_angle_beta 90.00
_cell_angle_gamma 90.00
_symmetry_space_group_name_H-M 'I m m a'
_symmetry_Int_Tables_number 74
_symmetry_space_group_name_Hall '-I 2b 2'
loop_
_atom_site_label
_atom_site_type_symbol
_atom_site_fract_x
_atom_site_fract_y
_atom_site_fract_z
Hf1 Hf 0.000 0.250 0.126
Re1 Re 0.000 0.000 0.500
Si1 Si 0.250 0.250 0.750
```

Properties
Formation energy (no corrections), eV/atom: -0.544

---

No. 8
DFT (PBE-GGA) results for HfHgS2 after structural relaxation.

```
data_HfHgS2
_chemical_formula_sum 'Hf2 Hg2 S4'
_cell_length_a 3.616
_cell_length_b 6.277
_cell_length_c 9.941
_cell_angle_alpha 100.60
_cell_angle_beta 93.34
_cell_angle_gamma 90.00
_symmetry_space_group_name_H-M 'P 1'
_symmetry_Int_Tables_number 1
_symmetry_space_group_name_Hall 'P 1'
loop_
_atom_site_label
_atom_site_type_symbol
_atom_site_fract_x
_atom_site_fract_y
_atom_site_fract_z
Hf1 Hf 0.000 0.000 0.000
Hf2 Hf 0.500 0.500 0.001
Hg1 Hg 0.689 0.735 0.501
Hg2 Hg 0.692 0.235 0.500
S1 S 0.024 0.377 0.151
S2 S 0.476 0.123 0.850
S3 S 0.524 0.877 0.150
S4 S 0.976 0.623 0.850
```

Properties
Formation energy (no corrections), eV/atom: -1.175

---

No. 9
DFT (PBE-GGA) results for TmScPbS after structural relaxation.

```
data_TmScPbS
_chemical_formula_sum 'Tm2 Sc2 Pb2 S2'
_cell_length_a 6.327
_cell_length_b 3.681
_cell_length_c 8.144
_cell_angle_alpha 90.00
_cell_angle_beta 104.95
_cell_angle_gamma 90.00
_symmetry_space_group_name_H-M 'C 1 m 1'
_symmetry_Int_Tables_number 8
_symmetry_space_group_name_Hall 'C -2y'
loop_
_atom_site_label
_atom_site_type_symbol
_atom_site_fract_x
_atom_site_fract_y
_atom_site_fract_z
Tm1 Tm 0.000 0.000 0.000
Sc1 Sc 0.297 0.500 0.386
Pb1 Pb 0.229 0.000 0.683
S1 S 0.403 0.000 0.207
```

Properties
Formation energy (no corrections), eV/atom: -1.162

---

No. 10
DFT (PBE-GGA) results for Li3Sn2Bi4 after structural relaxation.

```
data_Li3Sn2Bi4
_chemical_formula_sum 'Li12 Sn8 Bi16'
_cell_length_a 12.623
_cell_length_b 12.719
_cell_length_c 6.209
_cell_angle_alpha 90.00
_cell_angle_beta 105.72
_cell_angle_gamma 90.00
_symmetry_space_group_name_H-M 'C 1 2/c 1'
_symmetry_Int_Tables_number 15
_symmetry_space_group_name_Hall '-C 2yc'
loop_
_atom_site_label
_atom_site_type_symbol
_atom_site_fract_x
_atom_site_fract_y
_atom_site_fract_z
Li1 Li 0.000 0.003 0.250
Li2 Li 0.124 0.419 0.986
Sn1 Sn 0.179 0.101 0.586
Bi1 Bi 0.095 0.339 0.491
Bi2 Bi 0.150 0.153 0.063
```

Properties
ΔE_f, eV/atom: -0.152

---

No. 11
DFT (PBE-GGA) results for TmVMo2 after structural relaxation.

```
data_TmVMo2
_chemical_formula_sum 'Tm3 V3 Mo6'
_cell_length_a 3.0833
_cell_length_b 3.0833
_cell_length_c 25.9365
_cell_angle_alpha 90.00
_cell_angle_beta 90.00
_cell_angle_gamma 120.00
_symmetry_space_group_name_H-M 'R -3 m'
_symmetry_Int_Tables_number 166
_symmetry_space_group_name_Hall '-R 3 2"'
loop_
_atom_site_label
_atom_site_type_symbol
_atom_site_fract_x
_atom_site_fract_y
_atom_site_fract_z
Tm1 Tm 0.0000 0.0000 0.0000
V1 V 0.0000 0.0000 0.5000
Mo1 Mo 0.0000 0.0000 0.2379
```

Properties
ΔE_f, eV/atom: 0.399

---

V, record by record: 574.66, 644.42, 368.49, 257.99, 495.27, 90.24, 192.27, 221.42, 183.24, 959.65, 213.53 Å³/cell